# KTl2Si (GGA-PBE, optimized geometry)
data_KTl2Si
_chemical_formula_sum 'K1 Tl2 Si1'
_cell_length_a 6.098
_cell_length_b 3.275
_cell_length_c 6.274
_cell_angle_alpha 90.00
_cell_angle_beta 113.58
_cell_angle_gamma 90.00
_symmetry_space_group_name_H-M 'P 1'
_symmetry_Int_Tables_number 1
loop_
_symmetry_equiv_pos_as_xyz
'x,y,z'
loop_
_atom_site_label
_atom_site_type_symbol
_atom_site_fract_x
_atom_site_fract_y
_atom_site_fract_z
K1 K 0.000 0.000 0.000
Tl1 Tl 0.000 0.500 0.500
Tl2 Tl 0.500 0.000 0.500
Si1 Si 0.500 0.500 0.000
# Size of the total moment (μB per cell): 0.00
# Energy above the most stable polymorph in this dataset (meV/atom): 222
# Raw formation energy (eV per formula unit): 1.4

# Rb3PaPb2O8 (GGA-PBE, optimized geometry)
data_Rb3PaPb2O8
_chemical_formula_sum 'Rb3 Pa1 Pb2 O8'
_cell_length_a 6.303
_cell_length_b 6.303
_cell_length_c 8.194
_cell_angle_alpha 90.00
_cell_angle_beta 90.00
_cell_angle_gamma 120.00
_symmetry_space_group_name_H-M 'P 1'
_symmetry_Int_Tables_number 1
loop_
_symmetry_equiv_pos_as_xyz
'x,y,z'
loop_
_atom_site_label
_atom_site_type_symbol
_atom_site_fract_x
_atom_site_fract_y
_atom_site_fract_z
Rb1 Rb 0.000 0.000 0.000
Rb2 Rb 0.333 0.667 0.658
Rb3 Rb 0.667 0.333 0.342
Pa1 Pa 0.000 0.000 0.500
Pb1 Pb 0.333 0.667 0.219
Pb2 Pb 0.667 0.333 0.781
O1 O 0.162 0.323 0.345
O2 O 0.162 0.838 0.345
O3 O 0.323 0.162 0.655
O4 O 0.333 0.667 0.975
O5 O 0.667 0.333 0.025
O6 O 0.677 0.838 0.345
O7 O 0.838 0.162 0.655
O8 O 0.838 0.677 0.655
# Size of the total moment (μB per cell): 0.03
# Raw formation energy (eV per formula unit): -24.4